# CoNi2RhO6 | the Alexandria database | GGA+U | optimized geometry
# Magnetic moment = 5.933 μB/f.u.
# Total energy = -52.39 eV/f.u.
data_CoNi2RhO6
_chemical_formula_sum 'Co1 Ni2 Rh1 O6'
_space_group_name_H-M_alt 'P 4 m m'
_space_group_IT_number 99
_cell_length_a 5.510
_cell_length_b 5.510
_cell_length_c 4.421
_cell_angle_alpha 90.00
_cell_angle_beta 90.00
_cell_angle_gamma 90.00
loop_
_space_group_symop_operation_xyz
'x,y,z'
'-y,x,z'
'-x,-y,z'
'y,-x,z'
'-x,y,z'
'y,x,z'
'x,-y,z'
'-y,-x,z'
loop_
_atom_site_label
_atom_site_fract_x
_atom_site_fract_y
_atom_site_fract_z
_atom_site_occupancy
Co1 0.000 0.000 0.000 1
Ni1 0.000 0.500 0.264 1
Rh1 0.500 0.500 0.049 1
O1 0.000 0.000 0.620 1
O2 0.251 0.251 0.155 1
O3 0.500 0.500 0.645 1